# 1
The following is a DFT calculation (PBE-GGA) of an optimized crystal structure of AlCrTe2Au.

a = 5.169 Å, b = 5.143 Å, c = 5.169 Å
α = 90.00°, β = 90.00°, γ = 90.00°
Last column: magnetic moment on the atom in μB.
Fractional coordinates of all 5 atoms:
Te: 0.000 0.000 0.500  -0.13
Te: 0.500 0.000 0.000  -0.17
Cr: 0.000 0.000 0.000  2.81
Al: 0.500 0.500 0.500  -0.01
Au: 0.000 0.500 0.000  0.03

Output
Formation energy from raw total energies = 0.44 eV/atom
Calculated volume = 27.5 Å³/atom
Spin magnetization = 0.522 μB per atom
Crystal system = tetragonal


# 2
The following is a DFT calculation (PBE-GGA) of an optimized crystal structure of Ga2Se2Cl.

a = 7.771 Å, b = 7.771 Å, c = 7.707 Å
α = 120.27°, β = 120.27°, γ = 90.00°
Fractional coordinates of all 10 atoms:
Se: 0.640 0.891 0.279
Se: 0.640 0.389 0.279
Se: 0.639 0.390 0.779
Se: 0.141 0.390 0.779
Ga: 0.411 0.204 0.822
Ga: 0.411 0.618 0.822
Ga: 0.454 0.161 0.322
Ga: 0.868 0.161 0.322
Cl: 0.330 0.830 0.660
Cl: 0.080 0.080 0.160

Output
Relative energy among the computed polymorphs = 0.0 kJ/mol of atoms
Formation energy from raw total energies = -0.53 eV/atom
Calculated volume = 32.6 Å³/atom
Spin magnetization = 0.000 μB per atom
Crystal system = tetragonal


# 3
The following is a DFT calculation (PBE-GGA) of an optimized crystal structure of LiPmTl4.

a = 3.721 Å, b = 6.554 Å, c = 8.137 Å
α = 112.15°, β = 76.78°, γ = 73.51°
Fractional coordinates of all 6 atoms:
Tl: 0.804 0.539 0.854
Tl: 0.654 0.013 0.678
Tl: 0.346 0.987 0.322
Tl: 0.196 0.461 0.146
Li: 0.000 0.000 0.000
Pm: 0.500 0.500 0.500

Output
Relative energy among the computed polymorphs = 0.0 kJ/mol of atoms
Calculated volume = 27.2 Å³/atom
Spin magnetization = 0.000 μB per atom
Crystal system = monoclinic


# 4
The following is a DFT calculation (PBE-GGA) of an optimized crystal structure of BaLi2Ir.

a = 10.428 Å, b = 10.428 Å, c = 10.428 Å
α = 17.22°, β = 17.22°, γ = 17.22°
Last column: magnetic moment on the atom in μB.
Fractional coordinates of all 4 atoms:
Li: 0.023 0.023 0.023  0.00
Li: 0.477 0.477 0.477  0.00
Ir: 0.750 0.750 0.750  0.40
Ba: 0.250 0.250 0.250  0.00

Output
Relative energy among the computed polymorphs = 48.6 kJ/mol of atoms
Calculated volume = 21.7 Å³/atom
Spin magnetization = 0.097 μB per atom
Crystal system = trigonal


# 5
The following is a DFT calculation (PBE-GGA) of an optimized crystal structure of Ca2GeTePd.

a = 5.794 Å, b = 4.974 Å, c = 5.794 Å
α = 90.00°, β = 90.00°, γ = 90.00°
Fractional coordinates of all 5 atoms:
Pd: 0.000 0.500 0.000
Ca: 0.000 0.000 0.500
Ca: 0.500 0.000 0.000
Te: 0.000 0.000 0.000
Ge: 0.500 0.500 0.500

Output
Formation energy from raw total energies = -0.19 eV/atom
Calculated volume = 33.4 Å³/atom
Spin magnetization = 0.000 μB per atom
Crystal system = tetragonal


# 6
The following is a DFT calculation (PBE-GGA) of an optimized crystal structure of Tm3AgTe4.

a = 4.308 Å, b = 4.308 Å, c = 14.401 Å
α = 81.40°, β = 81.40°, γ = 60.00°
Fractional coordinates of all 8 atoms:
Tm: 0.250 0.250 0.251
Tm: 0.500 0.500 0.500
Tm: 0.750 0.750 0.749
Ag: 0.000 0.000 0.000
Te: 0.874 0.874 0.377
Te: 0.624 0.624 0.127
Te: 0.376 0.376 0.873
Te: 0.126 0.126 0.623

Output
Formation energy from raw total energies = -1.00 eV/atom
Calculated volume = 28.5 Å³/atom
Spin magnetization = 0.000 μB per atom
Crystal system = trigonal


# 7
The following is a DFT calculation (PBE-GGA) of an optimized crystal structure of Sr3Li.

a = 7.569 Å, b = 7.569 Å, c = 7.569 Å
α = 116.94°, β = 116.94°, γ = 116.94°
Fractional coordinates of all 4 atoms:
Sr: 0.500 0.500 0.000
Sr: 0.500 0.000 0.500
Sr: 0.000 0.500 0.500
Li: 0.000 0.000 0.000

Output
Relative energy among the computed polymorphs = 5.3 kJ/mol of atoms
Calculated volume = 48.2 Å³/atom
Spin magnetization = 0.000 μB per atom
Crystal system = trigonal


# 8
The following is a DFT calculation (PBE-GGA) of an optimized crystal structure of Sr3NbH.

a = 5.343 Å, b = 5.343 Å, c = 5.343 Å
α = 90.00°, β = 90.00°, γ = 90.00°
Last column: magnetic moment on the atom in μB.
Fractional coordinates of all 5 atoms:
Sr: 0.000 0.000 0.500  0.05
Sr: 0.500 0.000 0.000  0.03
Sr: 0.000 0.500 0.000  0.03
Nb: 0.500 0.500 0.500  2.30
H: 0.000 0.000 0.000  0.00

Output
Relative energy among the computed polymorphs = 0.0 kJ/mol of atoms
Calculated volume = 30.5 Å³/atom
Spin magnetization = 0.691 μB per atom
Crystal system = cubic


# 9
The following is a DFT calculation (PBE-GGA) of an optimized crystal structure of Er3Tm6Tl.

a = 3.453 Å, b = 12.551 Å, c = 14.003 Å
α = 100.40°, β = 90.00°, γ = 90.00°
Fractional coordinates of all 20 atoms:
Tm: 0.750 0.490 0.691
Tm: 0.250 0.883 0.530
Tm: 0.250 0.658 0.882
Tm: 0.750 0.342 0.118
Tm: 0.250 0.249 0.693
Tm: 0.250 0.226 0.286
Tm: 0.750 0.751 0.307
Tm: 0.750 0.807 0.074
Tm: 0.750 0.117 0.470
Tm: 0.250 0.510 0.309
Tm: 0.750 0.774 0.714
Tm: 0.250 0.193 0.926
Er: 0.750 0.628 0.503
Er: 0.750 0.423 0.903
Er: 0.250 0.372 0.497
Er: 0.250 0.926 0.899
Er: 0.250 0.577 0.097
Er: 0.750 0.074 0.101
Tl: 0.750 0.033 0.720
Tl: 0.250 0.967 0.280

Output
Relative energy among the computed polymorphs = 0.0 kJ/mol of atoms
Calculated volume = 29.8 Å³/atom
Spin magnetization = 0.000 μB per atom
Crystal system = monoclinic


# 10
The following is a DFT calculation (PBE-GGA) of an optimized crystal structure of SnGeOF2.

a = 4.436 Å, b = 4.436 Å, c = 3.979 Å
α = 90.00°, β = 90.00°, γ = 90.00°
Fractional coordinates of all 5 atoms:
Ge: 0.000 0.000 0.000
O: 0.000 0.000 0.500
F: 0.500 0.000 0.000
F: 0.000 0.500 0.000
Sn: 0.500 0.500 0.500

Output
Relative energy among the computed polymorphs = 0.0 kJ/mol of atoms
Formation energy from raw total energies = -1.32 eV/atom
Calculated volume = 15.7 Å³/atom
Spin magnetization = 0.000 μB per atom
Crystal system = tetragonal


# 11
The following is a DFT calculation (PBE-GGA) of an optimized crystal structure of K2PbBr5.

a = 6.098 Å, b = 8.722 Å, c = 14.487 Å
α = 90.00°, β = 90.00°, γ = 110.46°
Fractional coordinates of all 16 atoms:
Br: 0.285 0.570 0.391
Br: 0.285 0.570 0.109
Br: 0.958 0.917 0.602
Br: 0.715 0.430 0.891
Br: 0.958 0.917 0.898
Br: 0.715 0.430 0.609
Br: 0.042 0.083 0.398
Br: 0.686 0.372 0.250
Br: 0.314 0.628 0.750
Br: 0.042 0.083 0.102
K: 0.162 0.324 0.580
K: 0.162 0.324 0.920
K: 0.838 0.676 0.420
K: 0.838 0.676 0.080
Pb: 0.157 0.315 0.250
Pb: 0.843 0.685 0.750

Output
Relative energy among the computed polymorphs = 0.0 kJ/mol of atoms
Formation energy from raw total energies = -1.16 eV/atom
Calculated volume = 45.1 Å³/atom
Spin magnetization = 0.000 μB per atom
Crystal system = orthorhombic


# 12
The following is a DFT calculation (PBE-GGA) of an optimized crystal structure of Li3MgAg4.

a = 4.517 Å, b = 4.518 Å, c = 7.288 Å
α = 108.15°, β = 108.06°, γ = 90.00°
Fractional coordinates of all 8 atoms:
Ag: 0.131 0.131 0.261
Ag: 0.631 0.631 0.261
Ag: 0.869 0.869 0.739
Ag: 0.369 0.369 0.739
Li: 0.750 0.250 0.501
Li: 0.000 0.500 0.000
Li: 0.250 0.750 0.499
Mg: 0.500 0.000 0.000

Output
Relative energy among the computed polymorphs = 0.0 kJ/mol of atoms
Calculated volume = 16.7 Å³/atom
Spin magnetization = 0.000 μB per atom
Crystal system = monoclinic


# 13
The following is a DFT calculation (PBE-GGA) of an optimized crystal structure of AlTcAgSe2.

a = 4.913 Å, b = 4.864 Å, c = 4.913 Å
α = 90.00°, β = 90.00°, γ = 90.00°
Last column: magnetic moment on the atom in μB.
Fractional coordinates of all 5 atoms:
Tc: 0.500 0.500 0.500  3.63
Al: 0.000 0.000 0.000  0.02
Ag: 0.000 0.500 0.000  0.02
Se: 0.500 0.000 0.000  0.06
Se: 0.000 0.000 0.500  0.02

Output
Formation energy from raw total energies = 0.86 eV/atom
Calculated volume = 23.5 Å³/atom
Spin magnetization = 0.871 μB per atom
Crystal system = tetragonal


# 14
The following is a DFT calculation (PBE-GGA) of an optimized crystal structure of CaFeCl2.

a = 3.847 Å, b = 5.524 Å, c = 3.961 Å
α = 90.00°, β = 90.00°, γ = 90.00°
Last column: magnetic moment on the atom in μB.
Fractional coordinates of all 4 atoms:
Ca: 0.000 0.500 0.500  -0.06
Cl: 0.000 0.000 0.000  0.03
Cl: 0.500 0.500 0.000  0.01
Fe: 0.500 0.000 0.500  2.94

Output
Relative energy among the computed polymorphs = 21.6 kJ/mol of atoms
Formation energy from raw total energies = -0.60 eV/atom
Calculated volume = 21.0 Å³/atom
Spin magnetization = 0.748 μB per atom
Crystal system = orthorhombic


# 15
The following is a DFT calculation (PBE-GGA) of an optimized crystal structure of Rb3PtI6.

a = 9.448 Å, b = 9.448 Å, c = 9.448 Å
α = 85.90°, β = 85.90°, γ = 85.90°
Last column: magnetic moment on the atom in μB.
Fractional coordinates of all 20 atoms:
Rb: 0.855 0.470 0.864  0.00
Rb: 0.530 0.136 0.145  0.00
Rb: 0.145 0.530 0.136  0.00
Rb: 0.136 0.145 0.530  0.00
Rb: 0.864 0.855 0.470  0.00
Rb: 0.470 0.864 0.855  0.00
I: 0.201 0.515 0.511  0.00
I: 0.101 0.806 0.802  0.06
I: 0.485 0.489 0.799  0.00
I: 0.515 0.511 0.201  0.00
I: 0.799 0.485 0.489  0.00
I: 0.802 0.101 0.806  0.06
I: 0.194 0.198 0.899  0.06
I: 0.806 0.802 0.101  0.06
I: 0.198 0.899 0.194  0.06
I: 0.899 0.194 0.198  0.06
I: 0.489 0.799 0.485  0.00
I: 0.511 0.201 0.515  0.00
Pt: 0.500 0.500 0.500  0.00
Pt: 0.000 0.000 0.000  0.40

Output
Relative energy among the computed polymorphs = 0.0 kJ/mol of atoms
Formation energy from raw total energies = -0.87 eV/atom
Calculated volume = 41.9 Å³/atom
Spin magnetization = 0.048 μB per atom
Crystal system = trigonal


# 16
The following is a DFT calculation (PBE-GGA) of an optimized crystal structure of DyYGa2.

a = 3.577 Å, b = 3.577 Å, c = 7.154 Å
α = 90.00°, β = 90.00°, γ = 90.00°
Fractional coordinates of all 4 atoms:
Y: 0.500 0.500 0.500
Ga: 0.000 0.000 0.249
Ga: 0.000 0.000 0.751
Dy: 0.500 0.500 0.000

Output
E = -4.877 eV/atom
Calculated volume = 22.9 Å³/atom
Spin magnetization = 0.000 μB per atom
Crystal system = tetragonal


# 17
The following is a DFT calculation (PBE-GGA) of an optimized crystal structure of CrInTe.

a = 6.591 Å, b = 6.591 Å, c = 3.509 Å
α = 74.56°, β = 74.56°, γ = 30.88°
Last column: magnetic moment on the atom in μB.
Fractional coordinates of all 3 atoms:
Te: 0.621 0.621 0.379  -0.17
In: 0.359 0.359 0.641  -0.02
Cr: 0.019 0.019 0.981  3.35

Output
Relative energy among the computed polymorphs = 1.0 kJ/mol of atoms
Formation energy from raw total energies = 0.19 eV/atom
Calculated volume = 25.1 Å³/atom
Spin magnetization = 1.138 μB per atom
Crystal system = tetragonal


# 18
The following is a DFT calculation (PBE-GGA) of an optimized crystal structure of CoHgP2.

a = 4.961 Å, b = 4.961 Å, c = 4.961 Å
α = 142.81°, β = 116.47°, γ = 75.97°
Last column: magnetic moment on the atom in μB.
Fractional coordinates of all 4 atoms:
Hg: 0.256 0.756 0.500  0.00
P: 0.742 0.242 0.500  0.00
P: 0.955 0.955 0.000  0.00
Co: 0.548 0.548 0.000  0.32

Output
E = -4.040 eV/atom
Calculated volume = 16.2 Å³/atom
Spin magnetization = 0.077 μB per atom
Crystal system = orthorhombic


# 19
The following is a DFT calculation (PBE-GGA) of an optimized crystal structure of AgGeS2.

a = 5.684 Å, b = 5.684 Å, c = 7.178 Å
α = 66.68°, β = 66.68°, γ = 90.00°
Fractional coordinates of all 8 atoms:
Ag: 0.000 0.000 0.000
Ag: 0.750 0.250 0.500
S: 0.875 0.847 0.750
S: 0.375 0.403 0.750
S: 0.153 0.625 0.250
S: 0.597 0.125 0.250
Ge: 0.500 0.500 0.000
Ge: 0.250 0.750 0.500

Output
Formation energy from raw total energies = -0.09 eV/atom
Calculated volume = 24.0 Å³/atom
Spin magnetization = 0.000 μB per atom
Crystal system = tetragonal